(1)
# Ge2Pb PBE-GGA optimized geometry
data_Ge2Pb
_cell_length_a 3.4347
_cell_length_b 3.4347
_cell_length_c 11.9501
_cell_angle_alpha 90.00
_cell_angle_beta 90.00
_cell_angle_gamma 90.00
_space_group_name_H-M_alt 'I 4/m m m'
_space_group_IT_number 139
_space_group_name_Hall '-I 4 2'
loop_
_atom_site_label
_atom_site_type_symbol
_atom_site_fract_x
_atom_site_fract_y
_atom_site_fract_z
_atom_site_occupancy
Ge1 Ge 0.0000 0.0000 0.1918 1
Pb1 Pb 0.0000 0.0000 0.5000 1
# energy above the lowest structure with this stoichiometry = 0.0087 eV/atom

=====

(2)
# Pm4AlPt PBE-GGA optimized geometry
data_Pm4AlPt
_cell_length_a 8.9093
_cell_length_b 14.0174
_cell_length_c 5.8634
_cell_angle_alpha 90.00
_cell_angle_beta 112.63
_cell_angle_gamma 90.00
_space_group_name_H-M_alt 'C 1 2/c 1'
_space_group_IT_number 15
_space_group_name_Hall '-C 2yc'
loop_
_atom_site_label
_atom_site_type_symbol
_atom_site_fract_x
_atom_site_fract_y
_atom_site_fract_z
_atom_site_occupancy
Pm1 Pm 0.1181 0.1858 0.0753 1
Pm2 Pm 0.2081 0.4272 0.3373 1
Al1 Al 0.0000 0.3771 0.7500 1
Pt1 Pt 0.0000 0.0009 0.7500 1
# energy above the lowest structure with this stoichiometry = 0.0958 eV/atom

=====

(3)
# Cs2Br5Cl12 PBE-GGA optimized geometry
data_Cs2Br5Cl12
_cell_length_a 11.2977
_cell_length_b 13.9017
_cell_length_c 10.1390
_cell_angle_alpha 90.00
_cell_angle_beta 106.52
_cell_angle_gamma 90.00
_space_group_name_H-M_alt 'C 1 2/m 1'
_space_group_IT_number 12
_space_group_name_Hall '-C 2y'
loop_
_atom_site_label
_atom_site_type_symbol
_atom_site_fract_x
_atom_site_fract_y
_atom_site_fract_z
_atom_site_occupancy
Cs1 Cs 0.0000 0.2099 0.0000 1
Br1 Br 0.0000 0.0000 0.5000 1
Br2 Br 0.0951 0.0000 0.3058 1
Br3 Br 0.1207 0.5000 0.8469 1
Cl1 Cl 0.0825 0.5000 0.3293 1
Cl2 Cl 0.1830 0.0000 0.9908 1
Cl3 Cl 0.1966 0.2723 0.7560 1
Cl4 Cl 0.2059 0.3488 0.2797 1
# formation energy without anion corrections = -0.42 eV/atom

=====

(4)
# ReSiTcRu PBE-GGA optimized geometry
data_ReSiTcRu
_cell_length_a 4.0542
_cell_length_b 4.0542
_cell_length_c 13.1342
_cell_angle_alpha 90.00
_cell_angle_beta 90.00
_cell_angle_gamma 120.00
_space_group_name_H-M_alt 'R 3 m'
_space_group_IT_number 160
_space_group_name_Hall 'R 3 -2"'
loop_
_atom_site_label
_atom_site_type_symbol
_atom_site_fract_x
_atom_site_fract_y
_atom_site_fract_z
_atom_site_occupancy
Re1 Re 0.0000 0.0000 0.0000 1
Si1 Si 0.0000 0.0000 0.4061 1
Tc1 Tc 0.0000 0.0000 0.8094 1
Ru1 Ru 0.0000 0.0000 0.5924 1
# formation energy without anion corrections = 0.07 eV/atom

=====

(5)
# Ac2Pm3YSe6 PBE-GGA optimized geometry
data_Ac2Pm3YSe6
_cell_length_a 7.3900
_cell_length_b 12.8444
_cell_length_c 7.3955
_cell_angle_alpha 90.00
_cell_angle_beta 109.66
_cell_angle_gamma 90.00
_space_group_name_H-M_alt 'C 1 2/m 1'
_space_group_IT_number 12
_space_group_name_Hall '-C 2y'
loop_
_atom_site_label
_atom_site_type_symbol
_atom_site_fract_x
_atom_site_fract_y
_atom_site_fract_z
_atom_site_occupancy
Ac1 Ac 0.0000 0.1655 0.0000 1
Pm1 Pm 0.0000 0.0000 0.5000 1
Pm2 Pm 0.0000 0.3264 0.5000 1
Y1 Y 0.0000 0.5000 0.0000 1
Se1 Se 0.2298 0.5000 0.7372 1
Se2 Se 0.2436 0.3406 0.2554 1
# formation energy without anion corrections = -1.82 eV/atom

=====

(6)
# MnPtSeBr2 PBE-GGA optimized geometry
data_MnPtSeBr2
_cell_length_a 5.0925
_cell_length_b 5.0925
_cell_length_c 5.0795
_cell_angle_alpha 90.00
_cell_angle_beta 90.00
_cell_angle_gamma 90.00
_space_group_name_H-M_alt 'P 4/m m m'
_space_group_IT_number 123
_space_group_name_Hall '-P 4 2'
loop_
_atom_site_label
_atom_site_type_symbol
_atom_site_fract_x
_atom_site_fract_y
_atom_site_fract_z
_atom_site_occupancy
Mn1 Mn 0.0000 0.0000 0.0000 1
Pt1 Pt 0.5000 0.5000 0.5000 1
Se1 Se 0.5000 0.5000 0.0000 1
Br1 Br 0.0000 0.5000 0.5000 1
# energy above the lowest structure with this stoichiometry = 0.0000 eV/atom
# formation energy without anion corrections = 0.34 eV/atom

=====

Number 1: electronic total energy -4.08 eV per atom. Number 2: electronic total energy -5.26 eV per atom. Number 3: electronic total energy -2.11 eV per atom. Number 4: electronic total energy -9.31 eV per atom. Number 5: electronic total energy -5.97 eV per atom. Number 6: electronic total energy -4.06 eV per atom.